DFT (PBE-GGA) results for a relaxed TmTaAs2 crystal.

Values from the calculation:
Density: 10.1 g/cm3
Total magnetization: 0.00 μB per formula unit
Energy of formation: -0.797 eV per atom

Unit cell a=3.8504 b=3.8504 c=6.7466 alpha=73.42 beta=73.42 gamma=60.00
Element x y z (fractional)
Tm (0.5000, 0.5000, 0.5000)
As (0.7433, 0.7433, 0.7701)
Ta (0.0000, 0.0000, 0.0000)
As (0.2567, 0.2567, 0.2299)



DFT (PBE-GGA) results for a relaxed ZrZnRu crystal.

Values from the calculation:
Density: 7.8 g/cm3
Total magnetization: 0.00 μB per formula unit
Energy of formation: -0.024 eV per atom

Unit cell a=3.3191 b=3.3191 c=5.7569 alpha=90.00 beta=90.00 gamma=120.00
Element x y z (fractional)
Zr (0.3333, 0.6667, 0.6913)
Ru (0.0000, 0.0000, 0.0005)
Zn (0.6667, 0.3333, 0.3082)



Q: Look up the energy of formation of the first one.
A: -0.797 eV per atom



Q: Look up the energy of formation of the second one.
A: -0.024 eV per atom